1.
Rb2NdHoO4 | PBE | relaxed

Results
The formation energy without anion corrections comes out at -2.623 eV per atom. The density of states at the Fermi level comes out at 0.00 states/eV/cell.

Lattice parameters (Å, degrees): 6.205 3.583 6.899 90.00 107.37 90.00
Space group P2/m (No. 10)
One atom of each set of equivalent atoms:
Rb 0.000 0.000 0.000 [1 per cell]
Rb 0.500 0.500 0.000 [1 per cell]
Nd 0.000 0.500 0.500 [1 per cell]
Ho 0.500 0.000 0.500 [1 per cell]
O 0.237 0.000 0.679 [2 per cell]
O 0.284 0.500 0.323 [2 per cell]

=====

2.
Rb3Nd2HoO6 | PBE | relaxed

Results
The formation energy without anion corrections comes out at -2.602 eV per atom. The density of states at the Fermi level comes out at 0.00 states/eV/cell.

Lattice parameters (Å, degrees): 6.255 10.836 6.915 90.00 107.53 90.00
Space group C2/m (No. 12)
One atom of each set of equivalent atoms:
Rb 0.000 0.000 0.000 [2 per cell]
Rb 0.000 0.335 0.000 [4 per cell]
Nd 0.000 0.167 0.500 [4 per cell]
Ho 0.000 0.500 0.500 [2 per cell]
O 0.220 0.339 0.679 [8 per cell]
O 0.237 0.000 0.679 [4 per cell]

=====

3.
Nd2HoRhO6 | PBE | relaxed

Results
The formation energy without anion corrections comes out at -2.726 eV per atom. The density of states at the Fermi level comes out at 0.00 states/eV/cell.

Lattice parameters (Å, degrees): 5.646 5.948 9.762 90.00 123.62 90.00
Space group P2_1/c (No. 14)
One atom of each set of equivalent atoms:
Nd 0.226 0.064 0.249 [4 per cell]
Ho 0.500 0.000 0.000 [2 per cell]
Rh 0.000 0.000 0.500 [2 per cell]
O 0.123 0.204 0.938 [4 per cell]
O 0.235 0.695 0.938 [4 per cell]
O 0.362 0.049 0.739 [4 per cell]

=====

4.
NdHo2RuO8 | PBE | relaxed

Results
The formation energy without anion corrections comes out at -2.366 eV per atom. The density of states at the Fermi level comes out at 3.74 states/eV/cell.

Lattice parameters (Å, degrees): 5.054 6.844 5.066 90.00 90.35 90.00
Space group P2/m (No. 10)
One atom of each set of equivalent atoms:
Nd 0.000 0.000 0.000 [1 per cell]
Ho 0.500 0.250 0.500 [2 per cell]
Ru 0.000 0.500 0.000 [1 per cell]
O 0.188 0.296 0.186 [4 per cell]
O 0.265 0.500 0.733 [2 per cell]
O 0.315 0.000 0.683 [2 per cell]

=====

5.
NdHoSO2 | PBE | relaxed

Results
The formation energy without anion corrections comes out at -3.077 eV per atom. The density of states at the Fermi level comes out at 0.00 states/eV/cell.

Lattice parameters (Å, degrees): 6.474 4.060 7.630 90.00 109.09 90.00
Space group P2_1/m (No. 11)
One atom of each set of equivalent atoms:
Nd 0.196 0.250 0.432 [2 per cell]
Ho 0.180 0.250 0.926 [2 per cell]
S 0.457 0.750 0.744 [2 per cell]
O 0.016 0.750 0.370 [2 per cell]
O 0.022 0.750 0.890 [2 per cell]

=====

6.
NdHoS2O | PBE | relaxed

Results
The formation energy without anion corrections comes out at -2.491 eV per atom. The density of states at the Fermi level comes out at 1.46 states/eV/cell.

Lattice parameters (Å, degrees): 3.936 3.936 13.961 90.00 90.00 90.00
Space group P4/nmm (No. 129, origin choice 2)
One atom of each set of equivalent atoms:
Nd 0.250 0.250 0.089 [2 per cell]
Ho 0.250 0.250 0.621 [2 per cell]
S 0.250 0.250 0.410 [2 per cell]
S 0.250 0.250 0.799 [2 per cell]
O 0.250 0.750 0.000 [2 per cell]